Entry 1:
First-principles (GGA-PBE) data for crystalline FeTc at its relaxed geometry, as listed in Alexandria via LeMat-Bulk.

Cell: 9.163 4.210 5.256 Å, 90.00 90.00 90.00°
Space group Pnma (No. 62)
Asymmetric unit:
Fe1 0.085 0.250 0.248 [4 per cell]
Fe2 0.166 0.750 0.499 [4 per cell]
Tc1 0.080 0.250 0.744 [4 per cell]
Tc2 0.168 0.750 0.997 [4 per cell]

Results
Calculated formation energy in eV/atom: 0.02

=====

Entry 2:
First-principles (GGA-PBE) data for crystalline Pm4NdSm2 at its relaxed geometry, as listed in Alexandria via LeMat-Bulk.

Cell: 6.713 6.860 6.862 Å, 76.21 60.80 60.79°
Space group P1 (No. 1)
Asymmetric unit:
Pm1 0.000 0.000 0.000 [1 per cell]
Pm2 0.128 0.601 0.400 [1 per cell]
Pm3 0.600 0.000 0.800 [1 per cell]
Pm4 0.729 0.399 0.400 [1 per cell]
Nd1 0.365 0.000 0.400 [1 per cell]
Sm1 0.114 0.500 0.900 [1 per cell]
Sm2 0.614 0.500 0.901 [1 per cell]

Results
Calculated formation energy in eV/atom: 0.17
ΔE to the lowest computed polymorph in meV per atom: 81

=====

Entry 3:
First-principles (GGA-PBE) data for crystalline BaCdSe2 at its relaxed geometry, as listed in Alexandria via LeMat-Bulk.

Cell: 7.732 4.427 7.439 Å, 90.00 110.53 90.00°
Space group C2/m (No. 12)
Asymmetric unit:
Ba1 0.000 0.000 0.000 [2 per cell]
Cd1 0.000 0.500 0.500 [2 per cell]
Se1 0.235 0.000 0.711 [4 per cell]

Results
Formation energy without anion corrections in meV per atom: -1202

=====

Entry 4:
First-principles (GGA-PBE) data for crystalline La6PdS5 at its relaxed geometry, as listed in Alexandria via LeMat-Bulk.

Cell: 7.253 12.543 7.245 Å, 90.00 109.49 90.00°
Space group C2/m (No. 12)
Asymmetric unit:
La1 0.245 0.000 0.255 [4 per cell]
La2 0.246 0.170 0.747 [8 per cell]
Pd1 0.000 0.500 0.000 [2 per cell]
S1 0.000 0.000 0.500 [2 per cell]
S2 0.000 0.166 0.000 [4 per cell]
S3 0.000 0.334 0.500 [4 per cell]

Results
Formation energy without anion corrections in meV per atom: -1913

=====

Entry 5:
First-principles (GGA-PBE) data for crystalline K2Ga4Ni at its relaxed geometry, as listed in Alexandria via LeMat-Bulk.

Cell: 4.630 4.630 18.430 Å, 90.00 90.00 90.00°
Space group I4/mmm (No. 139)
Asymmetric unit:
K1 0.000 0.000 0.173 [4 per cell]
Ga1 0.000 0.000 0.374 [4 per cell]
Ga2 0.000 0.500 0.000 [4 per cell]
Ni1 0.000 0.000 0.500 [2 per cell]

Results
Calculated formation energy in eV/atom: -0.03

=====

Entry 6:
First-principles (GGA-PBE) data for crystalline Al3Tl2Au9 at its relaxed geometry, as listed in Alexandria via LeMat-Bulk.

Cell: 13.604 7.813 11.310 Å, 90.00 114.07 90.00°
Space group C2/c (No. 15)
Asymmetric unit:
Al1 0.085 0.243 0.001 [8 per cell]
Al2 0.250 0.250 0.500 [4 per cell]
Tl1 0.167 0.085 0.749 [8 per cell]
Au1 0.000 0.355 0.750 [4 per cell]
Au2 0.062 0.091 0.437 [8 per cell]
Au3 0.105 0.420 0.577 [8 per cell]
Au4 0.113 0.301 0.251 [8 per cell]
Au5 0.226 0.421 0.940 [8 per cell]

Results
Calculated formation energy in eV/atom: -0.19

=====

| no. | magnetization (μB/f.u.) | density (Mg/m³) |
| --- | --- | --- |
| 1 | 0.10 | 10.08 |
| 2 | 0.00 | 7.07 |
| 3 | 0.00 | 5.68 |
| 4 | 0.00 | 5.88 |
| 5 | 0.00 | 3.49 |
| 6 | 0.00 | 13.69 |